Density functional theory data (PBE with a Hubbard U) for a geometry-optimized PuVNiO6 structure.

```
PuVNiO6
1.0
5.260 0.000 0.000
-2.630 4.556 0.000
0.000 0.000 8.833
Pu V Ni O
2 2 2 12
Direct
0.333 0.667 0.250
0.667 0.333 0.750
0.333 0.667 0.750
0.667 0.333 0.250
0.000 0.000 0.000
0.000 0.000 0.500
0.020 0.356 0.632
0.020 0.664 0.868
0.336 0.356 0.868
0.336 0.980 0.632
0.356 0.020 0.132
0.356 0.336 0.368
0.644 0.664 0.632
0.644 0.980 0.868
0.664 0.020 0.368
0.664 0.644 0.132
0.980 0.336 0.132
0.980 0.644 0.368
```

- M_tot (μB per cell) = 2.00
- V (Å³/cell) = 212
- total energy (eV/cell) = -142.68
- symmetry = P-31c